# 1
Here is a relaxed structure of SbRhSN2 from the Alexandria database. Energies are from GGA-PBE.

Cell: 3.925 3.925 4.924 Å, 90.00 90.00 90.00°
Element x y z (fractional)
Sb (0.000, 0.000, 0.000)
Rh (0.500, 0.500, 0.500)
S (0.500, 0.500, 0.000)
N (0.000, 0.500, 0.500)
N (0.500, 0.000, 0.500)

Output
- DOS at the Fermi energy: 0.79 states/eV/atom
- Excess energy over the best structure of this formula in the dataset: 0 meV per atom
- Total magnetic moment: 0.7 μB/f.u.



# 2
Here is a relaxed structure of SbRh2SN from the Alexandria database. Energies are from GGA-PBE.

Cell: 3.994 3.994 5.126 Å, 90.00 90.00 90.00°
Element x y z (fractional)
Sb (0.000, 0.000, 0.000)
Rh (0.000, 0.500, 0.500)
Rh (0.500, 0.000, 0.500)
S (0.500, 0.500, 0.000)
N (0.000, 0.000, 0.500)

Output
- DOS at the Fermi energy: 0.56 states/eV/atom
- Excess energy over the best structure of this formula in the dataset: 0 meV per atom
- Total magnetic moment: 0.0 μB/f.u.



# 3
Here is a relaxed structure of SbRhS2N from the Alexandria database. Energies are from GGA-PBE.

Cell: 5.038 5.038 3.885 Å, 90.00 90.00 90.00°
Element x y z (fractional)
Sb (0.000, 0.000, 0.000)
Rh (0.500, 0.500, 0.500)
S (0.000, 0.500, 0.000)
S (0.500, 0.000, 0.000)
N (0.000, 0.000, 0.500)

Output
- DOS at the Fermi energy: 1.51 states/eV/atom
- Excess energy over the best structure of this formula in the dataset: 895 meV per atom
- Total magnetic moment: 3.0 μB/f.u.



# 4
Here is a relaxed structure of SbRhS2N from the Alexandria database. Energies are from GGA-PBE.

Cell: 4.914 4.914 3.669 Å, 90.00 90.00 90.00°
Element x y z (fractional)
Sb (0.000, 0.000, 0.000)
Rh (0.500, 0.500, 0.500)
S (0.000, 0.500, 0.500)
S (0.500, 0.000, 0.500)
N (0.500, 0.500, 0.000)

Output
- DOS at the Fermi energy: 0.37 states/eV/atom
- Excess energy over the best structure of this formula in the dataset: 0 meV per atom
- Total magnetic moment: 0.0 μB/f.u.



# 5
Here is a relaxed structure of RhSeSN2 from the Alexandria database. Energies are from GGA-PBE.

Cell: 3.735 3.735 5.806 Å, 90.00 90.00 90.00°
Element x y z (fractional)
Rh (0.000, 0.000, 0.000)
Se (0.000, 0.000, 0.500)
S (0.500, 0.500, 0.500)
N (0.000, 0.500, 0.000)
N (0.500, 0.000, 0.000)

Output
- DOS at the Fermi energy: 0.73 states/eV/atom
- Excess energy over the best structure of this formula in the dataset: 0 meV per atom
- Total magnetic moment: 0.4 μB/f.u.



# 6
Here is a relaxed structure of RhSeSN2 from the Alexandria database. Energies are from GGA-PBE.

Cell: 3.561 3.561 6.920 Å, 90.00 90.00 90.00°
Element x y z (fractional)
Rh (0.000, 0.000, 0.000)
Se (0.500, 0.500, 0.500)
S (0.500, 0.500, 0.000)
N (0.000, 0.500, 0.500)
N (0.500, 0.000, 0.500)

Output
- DOS at the Fermi energy: 1.21 states/eV/atom
- Excess energy over the best structure of this formula in the dataset: 558 meV per atom
- Total magnetic moment: 0.7 μB/f.u.



# 7
Here is a relaxed structure of RhSe2SN from the Alexandria database. Energies are from GGA-PBE.

Cell: 5.089 5.089 3.623 Å, 90.00 90.00 90.00°
Element x y z (fractional)
Rh (0.000, 0.000, 0.000)
Se (0.000, 0.500, 0.000)
Se (0.500, 0.000, 0.000)
S (0.500, 0.500, 0.500)
N (0.000, 0.000, 0.500)

Output
- DOS at the Fermi energy: 0.73 states/eV/atom
- Excess energy over the best structure of this formula in the dataset: 0 meV per atom
- Total magnetic moment: 0.0 μB/f.u.



# 8
Here is a relaxed structure of RhSe2SN from the Alexandria database. Energies are from GGA-PBE.

Cell: 4.956 4.956 3.209 Å, 90.00 90.00 90.00°
Element x y z (fractional)
Rh (0.000, 0.000, 0.000)
Se (0.000, 0.500, 0.500)
Se (0.500, 0.000, 0.500)
S (0.500, 0.500, 0.500)
N (0.500, 0.500, 0.000)

Output
- DOS at the Fermi energy: 0.85 states/eV/atom
- Excess energy over the best structure of this formula in the dataset: 229 meV per atom
- Total magnetic moment: 0.0 μB/f.u.



# 9
Here is a relaxed structure of RhSeSN2 from the Alexandria database. Energies are from GGA-PBE.

Cell: 3.416 3.416 7.652 Å, 90.00 90.00 90.00°
Element x y z (fractional)
Rh (0.000, 0.000, 0.000)
Se (0.500, 0.500, 0.000)
S (0.500, 0.500, 0.500)
N (0.000, 0.500, 0.500)
N (0.500, 0.000, 0.500)

Output
- DOS at the Fermi energy: 0.87 states/eV/atom
- Excess energy over the best structure of this formula in the dataset: 304 meV per atom
- Total magnetic moment: 0.1 μB/f.u.



# 10
Here is a relaxed structure of RhSeSN2 from the Alexandria database. Energies are from GGA-PBE.

Cell: 3.759 3.759 5.508 Å, 90.00 90.00 90.00°
Element x y z (fractional)
Rh (0.000, 0.000, 0.000)
Se (0.500, 0.500, 0.500)
S (0.000, 0.000, 0.500)
N (0.000, 0.500, 0.000)
N (0.500, 0.000, 0.000)

Output
- DOS at the Fermi energy: 0.67 states/eV/atom
- Excess energy over the best structure of this formula in the dataset: 37 meV per atom
- Total magnetic moment: 0.4 μB/f.u.



# 11
Here is a relaxed structure of SiRhSN2 from the Alexandria database. Energies are from GGA-PBE.

Cell: 3.799 3.799 5.099 Å, 90.00 90.00 90.00°
Element x y z (fractional)
Si (0.000, 0.000, 0.000)
Rh (0.500, 0.500, 0.500)
S (0.500, 0.500, 0.000)
N (0.000, 0.500, 0.500)
N (0.500, 0.000, 0.500)

Output
- DOS at the Fermi energy: 0.45 states/eV/atom
- Excess energy over the best structure of this formula in the dataset: 572 meV per atom
- Total magnetic moment: 0.3 μB/f.u.



# 12
Here is a relaxed structure of SiRhSN2 from the Alexandria database. Energies are from GGA-PBE.

Cell: 3.364 3.364 7.425 Å, 90.00 90.00 90.00°
Element x y z (fractional)
Si (0.000, 0.000, 0.000)
Rh (0.500, 0.500, 0.500)
S (0.000, 0.000, 0.500)
N (0.000, 0.500, 0.000)
N (0.500, 0.000, 0.000)

Output
- DOS at the Fermi energy: 1.08 states/eV/atom
- Excess energy over the best structure of this formula in the dataset: 0 meV per atom
- Total magnetic moment: 0.0 μB/f.u.